No. 1
Computed, not measured: a geometry-optimized AcAlZnCd structure at the PBE level of DFT.

Calculated values
ΔE_f = -0.59 eV per formula unit
D(E_F) = 1.6 states/eV/f.u.
E_tot = -2.66 eV per atom

a = 5.197 Å, b = 5.197 Å, c = 5.197 Å
α = 60.00°, β = 60.00°, γ = 60.00°
Positions (direct):
1 Ac 0.000 0.000 0.000
2 Al 0.500 0.500 0.500
3 Zn 0.750 0.750 0.750
4 Cd 0.250 0.250 0.250

No. 2
Computed, not measured: a geometry-optimized Li4Th3Sn4 structure at the PBE level of DFT.

Calculated values
ΔE_f = -5.68 eV per formula unit
D(E_F) = 5.1 states/eV/f.u.
E_tot = -4.69 eV per atom

a = 8.766 Å, b = 8.766 Å, c = 8.766 Å
α = 148.63°, β = 131.53°, γ = 58.88°
Positions (direct):
1 Li 0.013 0.829 0.184
2 Li 0.356 0.171 0.184
3 Li 0.644 0.829 0.816
4 Li 0.987 0.171 0.816
5 Th 0.000 0.500 0.500
6 Th 0.374 0.374 0.000
7 Th 0.626 0.626 0.000
8 Sn 0.216 0.716 0.500
9 Sn 0.298 0.000 0.298
10 Sn 0.702 0.000 0.702
11 Sn 0.784 0.284 0.500

No. 3
Computed, not measured: a geometry-optimized Er2TmAl2 structure at the PBE level of DFT.

Calculated values
ΔE_f = -1.59 eV per formula unit
D(E_F) = 3.0 states/eV/f.u.
E_tot = -4.53 eV per atom
Energy relative to the lowest polymorph listed for this composition = 0.0 meV per atom

a = 3.598 Å, b = 5.086 Å, c = 13.336 Å
α = 90.00°, β = 97.76°, γ = 90.00°
Positions (direct):
1 Er 0.047 0.250 0.094
2 Er 0.234 0.250 0.468
3 Er 0.766 0.750 0.532
4 Er 0.953 0.750 0.906
5 Tm 0.146 0.750 0.293
6 Tm 0.854 0.250 0.707
7 Al 0.360 0.750 0.718
8 Al 0.450 0.250 0.900
9 Al 0.550 0.750 0.100
10 Al 0.640 0.250 0.282

No. 4
Computed, not measured: a geometry-optimized MgAl2Pt2 structure at the PBE level of DFT.

Calculated values
ΔE_f = -4.40 eV per formula unit
D(E_F) = 1.4 states/eV/f.u.
E_tot = -5.11 eV per atom
Energy relative to the lowest polymorph listed for this composition = 8.8 meV per atom

a = 7.357 Å, b = 7.357 Å, c = 2.982 Å
α = 90.00°, β = 90.00°, γ = 90.00°
Positions (direct):
1 Mg 0.000 0.000 0.000
2 Mg 0.500 0.500 0.000
3 Al 0.146 0.354 0.500
4 Al 0.354 0.854 0.500
5 Al 0.646 0.146 0.500
6 Al 0.854 0.646 0.500
7 Pt 0.150 0.650 0.000
8 Pt 0.350 0.150 0.000
9 Pt 0.650 0.850 0.000
10 Pt 0.850 0.350 0.000

No. 5
Computed, not measured: a geometry-optimized Np2Co5Ni5 structure at the PBE level of DFT.

Calculated values
ΔE_f = -0.80 eV per formula unit
D(E_F) = 19.8 states/eV/f.u.
E_tot = -7.59 eV per atom

a = 3.947 Å, b = 4.838 Å, c = 8.450 Å
α = 90.00°, β = 90.00°, γ = 90.00°
Positions (direct):
1 Np 0.000 0.000 0.000
2 Np 0.000 0.500 0.500
3 Co 0.500 0.000 0.500
4 Co 0.500 0.252 0.253
5 Co 0.500 0.252 0.747
6 Co 0.500 0.748 0.253
7 Co 0.500 0.748 0.747
8 Ni 0.000 0.000 0.333
9 Ni 0.000 0.000 0.667
10 Ni 0.000 0.500 0.166
11 Ni 0.000 0.500 0.834
12 Ni 0.500 0.500 0.000

No. 6
Computed, not measured: a geometry-optimized NdY2UN4 structure at the PBE level of DFT.

Calculated values
D(E_F) = 5.9 states/eV/f.u.
E_tot = -9.30 eV per atom

a = 6.075 Å, b = 6.075 Å, c = 6.075 Å
α = 131.79°, β = 131.79°, γ = 70.56°
Positions (direct):
1 Nd 0.000 0.000 0.000
2 Y 0.500 0.500 0.000
3 Y 0.750 0.250 0.500
4 U 0.250 0.750 0.500
5 N 0.025 0.525 0.500
6 N 0.256 0.256 0.000
7 N 0.475 0.975 0.500
8 N 0.744 0.744 0.000